{
  "formula": "PaHgOsO6",
  "functional": "PBE",
  "state": "relaxed",
  "cell": [[-3.6682, 4.0406, 5.5584], [3.6682, -4.0406, 5.5584], [3.6682, 4.0406, -5.5584]],
  "species": ["Pa", "Pa", "Hg", "Hg", "Os", "Os", "O", "O", "O", "O", "O", "O", "O", "O", "O", "O", "O", "O"],
  "frac_coords": [[0.0000, 0.0000, 0.0000], [0.5000, 0.0000, 0.5000], [0.3237, 0.5737, 0.7500], [0.6763, 0.4263, 0.2500], [0.0000, 0.0000, 0.5000], [0.0000, 0.5000, 0.0000], [0.0449, 0.2949, 0.7500], [0.0472, 0.3364, 0.1175], [0.0472, 0.9298, 0.7108], [0.2810, 0.0702, 0.6175], [0.2810, 0.6636, 0.2108], [0.3086, 0.0586, 0.2500], [0.6914, 0.9414, 0.7500], [0.7190, 0.3364, 0.7892], [0.7190, 0.9298, 0.3825], [0.9528, 0.0702, 0.2892], [0.9528, 0.6636, 0.8825], [0.9551, 0.7051, 0.2500]],
  "magnetic_moment_mub_per_fu": 0.00,
  "e_form_raw_ev_per_fu": -15.78
}

{
  "formula": "HgOs2PbO8",
  "functional": "PBE",
  "state": "relaxed",
  "cell": [[6.4822, 0.0000, 0.0000], [-3.2411, 5.6138, 0.0000], [0.0000, 0.0000, 8.8169]],
  "species": ["Hg", "Os", "Os", "Pb", "O", "O", "O", "O", "O", "O", "O", "O"],
  "frac_coords": [[0.0000, 0.0000, 0.0000], [0.3333, 0.6667, 0.3772], [0.6667, 0.3333, 0.6228], [0.0000, 0.0000, 0.5000], [0.1817, 0.3633, 0.3234], [0.1817, 0.8183, 0.3234], [0.3333, 0.6667, 0.5762], [0.3633, 0.1817, 0.6766], [0.6367, 0.8183, 0.3234], [0.6667, 0.3333, 0.4238], [0.8183, 0.1817, 0.6766], [0.8183, 0.6367, 0.6766]],
  "magnetic_moment_mub_per_fu": 0.52,
  "e_form_raw_ev_per_fu": -10.06
}

{
  "formula": "PmHgOsO6",
  "functional": "PBE",
  "state": "relaxed",
  "cell": [[2.7827, -5.1839, 0.0000], [2.7827, 5.1839, 0.0000], [-0.9531, 0.0000, 4.9161]],
  "species": ["Pm", "Hg", "Os", "O", "O", "O", "O", "O", "O"],
  "frac_coords": [[0.0000, 0.0000, 0.0000], [0.6932, 0.3068, 0.5000], [0.3328, 0.6672, 0.0000], [0.0144, 0.6446, 0.7840], [0.0962, 0.4270, 0.2106], [0.2620, 0.3588, 0.7691], [0.3554, 0.9856, 0.2160], [0.5730, 0.9038, 0.7894], [0.6412, 0.7380, 0.2309]],
  "magnetic_moment_mub_per_fu": 0.00,
  "e_form_raw_ev_per_fu": -12.73
}

{
  "formula": "PrHgOsO6",
  "functional": "PBE",
  "state": "relaxed",
  "cell": [[2.8701, -5.2183, 0.0000], [2.8701, 5.2183, 0.0000], [-1.4714, 0.0000, 5.1630]],
  "species": ["Pr", "Hg", "Os", "O", "O", "O", "O", "O", "O"],
  "frac_coords": [[0.0000, 0.0000, 0.0000], [0.7026, 0.2974, 0.5000], [0.3379, 0.6621, 0.0000], [0.0088, 0.6305, 0.7918], [0.1220, 0.4518, 0.1999], [0.2486, 0.3409, 0.7792], [0.3695, 0.9912, 0.2082], [0.5482, 0.8780, 0.8001], [0.6591, 0.7514, 0.2208]],
  "magnetic_moment_mub_per_fu": 0.00,
  "e_form_raw_ev_per_fu": -12.62
}

{
  "formula": "RbHgOs2O8",
  "functional": "PBE",
  "state": "relaxed",
  "cell": [[4.7281, -3.8855, 0.0000], [4.7281, 3.8855, 0.0000], [-1.3063, 0.0000, 8.0665]],
  "species": ["Rb", "Hg", "Os", "Os", "O", "O", "O", "O", "O", "O", "O", "O"],
  "frac_coords": [[0.0000, 0.0000, 0.0000], [0.0000, 0.0000, 0.5000], [0.3993, 0.3993, 0.7362], [0.6007, 0.6007, 0.2638], [0.2488, 0.2488, 0.8355], [0.3146, 0.6828, 0.2062], [0.3172, 0.6854, 0.7938], [0.3366, 0.3366, 0.5236], [0.6634, 0.6634, 0.4764], [0.6828, 0.3146, 0.2062], [0.6854, 0.3172, 0.7938], [0.7512, 0.7512, 0.1645]],
  "magnetic_moment_mub_per_fu": 1.14,
  "e_form_raw_ev_per_fu": -12.38
}

{
  "formula": "Rb2HgOsO6",
  "functional": "PBE",
  "state": "relaxed",
  "cell": [[6.3058, 0.0000, 0.0000], [-3.1529, 5.4609, 0.0000], [0.0000, 0.0000, 6.0430]],
  "species": ["Rb", "Rb", "Hg", "Os", "O", "O", "O", "O", "O", "O"],
  "frac_coords": [[0.3333, 0.6667, 0.3373], [0.6667, 0.3333, 0.6627], [0.0000, 0.0000, 0.0000], [0.0000, 0.0000, 0.5000], [0.1393, 0.2786, 0.6852], [0.1393, 0.8607, 0.6852], [0.2786, 0.1393, 0.3148], [0.7214, 0.8607, 0.6852], [0.8607, 0.1393, 0.3148], [0.8607, 0.7214, 0.3148]],
  "magnetic_moment_mub_per_fu": 0.48,
  "e_form_raw_ev_per_fu": -9.20
}

{
  "formula": "Rb2Hg2OsO6",
  "functional": "PBE",
  "state": "relaxed",
  "cell": [[3.3534, -6.1187, 0.0000], [3.3534, 6.1187, 0.0000], [-1.1873, 0.0000, 6.3814]],
  "species": ["Rb", "Rb", "Hg", "Hg", "Os", "O", "O", "O", "O", "O", "O"],
  "frac_coords": [[0.1665, 0.8335, 0.0000], [0.8335, 0.1665, 0.0000], [0.3816, 0.6184, 0.5000], [0.6184, 0.3816, 0.5000], [0.5000, 0.5000, 0.0000], [0.2434, 0.2434, 0.8636], [0.3038, 0.5551, 0.1819], [0.4449, 0.6962, 0.8181], [0.5551, 0.3038, 0.1819], [0.6962, 0.4449, 0.8181], [0.7566, 0.7566, 0.1364]],
  "magnetic_moment_mub_per_fu": 0.00,
  "e_form_raw_ev_per_fu": -10.52
}

{
  "formula": "Rb3HgOs2O9",
  "functional": "PBE",
  "state": "relaxed",
  "cell": [[5.8088, 0.0000, 0.0000], [-2.9044, 5.0306, 0.0000], [0.0000, 0.0000, 7.4355]],
  "species": ["Rb", "Rb", "Rb", "Hg", "Os", "Os", "O", "O", "O", "O", "O", "O", "O", "O", "O"],
  "frac_coords": [[0.0000, 0.0000, 0.0000], [0.3333, 0.6667, 0.6584], [0.6667, 0.3333, 0.3416], [0.0000, 0.0000, 0.5000], [0.3333, 0.6667, 0.1520], [0.6667, 0.3333, 0.8480], [0.0000, 0.5000, 0.0000], [0.1799, 0.3599, 0.2921], [0.1799, 0.8201, 0.2921], [0.3599, 0.1799, 0.7079], [0.5000, 0.0000, 0.0000], [0.5000, 0.5000, 0.0000], [0.6401, 0.8201, 0.2921], [0.8201, 0.1799, 0.7079], [0.8201, 0.6401, 0.7079]],
  "magnetic_moment_mub_per_fu": 0.00,
  "e_form_raw_ev_per_fu": -15.86
}

{
  "formula": "Rb3HgOs2O8",
  "functional": "PBE",
  "state": "relaxed",
  "cell": [[6.3019, 0.0000, 0.0000], [-3.1509, 5.4576, 0.0000], [0.0000, 0.0000, 10.0519]],
  "species": ["Rb", "Rb", "Rb", "Hg", "Os", "Os", "O", "O", "O", "O", "O", "O", "O", "O"],
  "frac_coords": [[0.0000, 0.0000, 0.0000], [0.3333, 0.6667, 0.7117], [0.6667, 0.3333, 0.2883], [0.0000, 0.0000, 0.5000], [0.3333, 0.6667, 0.1632], [0.6667, 0.3333, 0.8368], [0.1798, 0.3596, 0.2264], [0.1798, 0.8202, 0.2264], [0.3333, 0.6667, 0.9854], [0.3596, 0.1798, 0.7736], [0.6404, 0.8202, 0.2264], [0.6667, 0.3333, 0.0146], [0.8202, 0.1798, 0.7736], [0.8202, 0.6404, 0.7736]],
  "magnetic_moment_mub_per_fu": 3.00,
  "e_form_raw_ev_per_fu": -16.67
}

{
  "formula": "HgOsRuO6",
  "functional": "PBE",
  "state": "relaxed",
  "cell": [[-3.5803, 3.6086, 5.1359], [3.5803, -3.6086, 5.1359], [3.5803, 3.6086, -5.1359]],
  "species": ["Hg", "Hg", "Os", "Os", "Ru", "Ru", "O", "O", "O", "O", "O", "O", "O", "O", "O", "O", "O", "O"],
  "frac_coords": [[0.3207, 0.0707, 0.2500], [0.6793, 0.9293, 0.7500], [0.0000, 0.5000, 0.5000], [0.5000, 0.5000, 0.0000], [0.0000, 0.0000, 0.5000], [0.0000, 0.5000, 0.0000], [0.0581, 0.4317, 0.2500], [0.0581, 0.8080, 0.6263], [0.0668, 0.8168, 0.2500], [0.3183, 0.1920, 0.7500], [0.3183, 0.5683, 0.1263], [0.3182, 0.5682, 0.7500], [0.6818, 0.4318, 0.2500], [0.6817, 0.4317, 0.8737], [0.6817, 0.8080, 0.2500], [0.9332, 0.1832, 0.7500], [0.9419, 0.1920, 0.3737], [0.9419, 0.5683, 0.7500]],
  "magnetic_moment_mub_per_fu": 0.00,
  "e_form_raw_ev_per_fu": -6.55
}

{
  "formula": "HgSbOsO6",
  "functional": "PBE",
  "state": "relaxed",
  "cell": [[-3.6205, 3.6366, 5.1952], [3.6205, -3.6366, 5.1952], [3.6205, 3.6366, -5.1952]],
  "species": ["Hg", "Hg", "Sb", "Sb", "Os", "Os", "O", "O", "O", "O", "O", "O", "O", "O", "O", "O", "O", "O"],
  "frac_coords": [[0.4059, 0.1559, 0.2500], [0.5941, 0.8441, 0.7500], [0.0000, 0.0000, 0.5000], [0.0000, 0.5000, 0.0000], [0.0000, 0.5000, 0.5000], [0.5000, 0.5000, 0.0000], [0.0750, 0.8250, 0.2500], [0.0756, 0.4374, 0.2650], [0.0756, 0.8106, 0.6382], [0.3047, 0.5547, 0.7500], [0.3276, 0.1894, 0.7650], [0.3276, 0.5626, 0.1382], [0.6724, 0.4374, 0.8618], [0.6724, 0.8106, 0.2350], [0.6953, 0.4453, 0.2500], [0.9244, 0.1894, 0.3618], [0.9244, 0.5626, 0.7350], [0.9250, 0.1750, 0.7500]],
  "magnetic_moment_mub_per_fu": 0.85,
  "e_form_raw_ev_per_fu": -7.83
}

{
  "formula": "SiHgOsO6",
  "functional": "PBE",
  "state": "relaxed",
  "cell": [[5.0149, 0.0000, 0.0000], [-2.5075, 4.3431, 0.0000], [0.0000, 0.0000, 5.0171]],
  "species": ["Si", "Hg", "Os", "O", "O", "O", "O", "O", "O"],
  "frac_coords": [[0.0000, 0.0000, 0.0000], [0.3333, 0.6667, 0.5000], [0.6667, 0.3333, 0.0000], [0.3140, 0.0381, 0.2037], [0.3140, 0.2759, 0.7963], [0.7241, 0.0381, 0.7963], [0.7241, 0.6860, 0.2037], [0.9619, 0.2759, 0.2037], [0.9619, 0.6860, 0.7963]],
  "magnetic_moment_mub_per_fu": 1.86,
  "e_form_raw_ev_per_fu": -11.55
}

{
  "formula": "SmHgOsO6",
  "functional": "PBE",
  "state": "relaxed",
  "cell": [[2.8080, -5.1415, 0.0000], [2.8080, 5.1415, 0.0000], [-1.2586, 0.0000, 5.0968]],
  "species": ["Sm", "Hg", "Os", "O", "O", "O", "O", "O", "O"],
  "frac_coords": [[0.0000, 0.0000, 0.0000], [0.6978, 0.3022, 0.5000], [0.3365, 0.6635, 0.0000], [0.0096, 0.6372, 0.7912], [0.1135, 0.4380, 0.2046], [0.2511, 0.3426, 0.7766], [0.3628, 0.9904, 0.2088], [0.5620, 0.8865, 0.7954], [0.6574, 0.7489, 0.2234]],
  "magnetic_moment_mub_per_fu": 0.00,
  "e_form_raw_ev_per_fu": -12.84
}

{
  "formula": "Sr2Hg2OsO6",
  "functional": "PBE",
  "state": "relaxed",
  "cell": [[3.0266, -5.2622, 0.0000], [3.0266, 5.2622, 0.0000], [-1.4634, 0.0000, 6.8849]],
  "species": ["Sr", "Sr", "Hg", "Hg", "Os", "O", "O", "O", "O", "O", "O"],
  "frac_coords": [[0.1656, 0.8344, 0.0000], [0.8344, 0.1656, 0.0000], [0.3460, 0.6540, 0.5000], [0.6540, 0.3460, 0.5000], [0.5000, 0.5000, 0.0000], [0.2039, 0.4632, 0.8468], [0.2762, 0.2762, 0.1586], [0.4632, 0.2039, 0.8468], [0.5368, 0.7961, 0.1532], [0.7238, 0.7238, 0.8414], [0.7961, 0.5368, 0.1532]],
  "magnetic_moment_mub_per_fu": 0.00,
  "e_form_raw_ev_per_fu": -15.76
}

{
  "formula": "SrHg2OsO",
  "functional": "PBE",
  "state": "relaxed",
  "cell": [[6.3848, 0.0000, 0.0000], [0.0000, 6.3848, 0.0000], [0.0000, 0.0000, 4.2906]],
  "species": ["Sr", "Hg", "Hg", "Os", "O"],
  "frac_coords": [[0.0000, 0.0000, 0.0000], [0.0000, 0.5000, 0.0000], [0.5000, 0.0000, 0.0000], [0.5000, 0.5000, 0.5000], [0.0000, 0.0000, 0.5000]],
  "magnetic_moment_mub_per_fu": 3.69,
  "e_form_raw_ev_per_fu": 4.58
}

{
  "formula": "SrHgOsO6",
  "functional": "PBE",
  "state": "relaxed",
  "cell": [[5.4402, 0.0000, 0.0000], [-1.1754, 5.4511, 0.0000], [-1.8205, -2.8156, 5.2448]],
  "species": ["Sr", "Hg", "Os", "O", "O", "O", "O", "O", "O"],
  "frac_coords": [[0.0000, 0.0000, 0.0000], [0.3438, 0.3514, 0.7091], [0.6734, 0.5413, 0.3414], [0.2871, 0.4329, 0.0346], [0.4186, 0.2516, 0.3909], [0.5532, 0.7747, 0.5352], [0.6674, 0.2169, 0.1153], [0.8267, 0.7564, 0.2300], [0.9751, 0.6106, 0.6058]],
  "magnetic_moment_mub_per_fu": 0.00,
  "e_form_raw_ev_per_fu": -11.06
}

{
  "formula": "SrHg2OsO6",
  "functional": "PBE",
  "state": "relaxed",
  "cell": [[2.9269, 1.6898, 5.1039], [-2.9269, 1.6898, 5.1039], [0.0000, -3.3797, 5.1039]],
  "species": ["Sr", "Hg", "Hg", "Os", "O", "O", "O", "O", "O", "O"],
  "frac_coords": [[0.0000, 0.0000, 0.0000], [0.2358, 0.2358, 0.2358], [0.7642, 0.7642, 0.7642], [0.5000, 0.5000, 0.5000], [0.1768, 0.7111, 0.3976], [0.2889, 0.6024, 0.8232], [0.3976, 0.1768, 0.7111], [0.6024, 0.8232, 0.2889], [0.7111, 0.3976, 0.1768], [0.8232, 0.2889, 0.6024]],
  "magnetic_moment_mub_per_fu": 0.00,
  "e_form_raw_ev_per_fu": -10.99
}

{
  "formula": "Sr2HgOsO8",
  "functional": "PBE",
  "state": "relaxed",
  "cell": [[4.5910, 0.0000, 0.0000], [-0.0087, 5.3323, 0.0000], [-1.4311, -0.2979, 7.0438]],
  "species": ["Sr", "Sr", "Hg", "Os", "O", "O", "O", "O", "O", "O", "O", "O"],
  "frac_coords": [[0.1066, 0.0087, 0.2818], [0.8934, 0.9913, 0.7182], [0.5000, 0.5000, 0.0000], [0.5000, 0.5000, 0.5000], [0.2380, 0.4942, 0.2490], [0.2414, 0.2999, 0.5929], [0.3236, 0.7892, 0.5796], [0.3716, 0.9196, 0.0023], [0.6284, 0.0804, 0.9977], [0.6764, 0.2108, 0.4204], [0.7586, 0.7001, 0.4071], [0.7620, 0.5058, 0.7510]],
  "magnetic_moment_mub_per_fu": 0.00,
  "e_form_raw_ev_per_fu": -16.40
}

{
  "formula": "Sr2HgOsO6",
  "functional": "PBE",
  "state": "relaxed",
  "cell": [[3.0267, 1.7475, 5.4895], [-3.0267, 1.7475, 5.4895], [0.0000, -3.4950, 5.4895]],
  "species": ["Sr", "Sr", "Hg", "Os", "O", "O", "O", "O", "O", "O"],
  "frac_coords": [[0.0000, 0.0000, 0.0000], [0.4840, 0.4840, 0.4840], [0.2732, 0.2732, 0.2732], [0.6816, 0.6816, 0.6816], [0.0080, 0.4751, 0.7356], [0.3456, 0.8464, 0.6254], [0.4751, 0.7356, 0.0080], [0.6254, 0.3456, 0.8464], [0.7356, 0.0080, 0.4751], [0.8464, 0.6254, 0.3456]],
  "magnetic_moment_mub_per_fu": 0.00,
  "e_form_raw_ev_per_fu": -16.67
}

{
  "formula": "Sr2Hg3OsO6",
  "functional": "PBE",
  "state": "relaxed",
  "cell": [[3.0275, -5.2547, 0.0000], [3.0275, 5.2547, 0.0000], [-1.9746, 0.0000, 7.0741]],
  "species": ["Sr", "Sr", "Hg", "Hg", "Hg", "Os", "O", "O", "O", "O", "O", "O"],
  "frac_coords": [[0.1668, 0.8332, 0.0000], [0.8332, 0.1668, 0.0000], [0.0000, 0.0000, 0.5000], [0.3434, 0.6566, 0.5000], [0.6566, 0.3434, 0.5000], [0.5000, 0.5000, 0.0000], [0.1907, 0.4504, 0.8491], [0.2888, 0.2888, 0.1519], [0.4504, 0.1907, 0.8491], [0.5496, 0.8093, 0.1509], [0.7112, 0.7112, 0.8481], [0.8093, 0.5496, 0.1509]],
  "magnetic_moment_mub_per_fu": 0.00,
  "e_form_raw_ev_per_fu": -15.82
}